Entry 1:
HfTaRu3, relaxed, DFT PBE; excess energy over the best structure of this formula in the dataset = 0.00 eV/f.u.; formation energy = 0.924 eV per atom
1.0
4.650 0.000 0.000
0.000 4.650 0.000
0.000 0.000 4.650
Ru Hf Ta
3 1 1
direct
0.000 0.000 0.500
0.000 0.500 0.000
0.500 0.000 0.000
0.500 0.500 0.500
0.000 0.000 0.000

Entry 2:
BaBe2I2, relaxed, DFT PBE; excess energy over the best structure of this formula in the dataset = 0.00 eV/f.u.; formation energy (no corrections) = 34 meV per atom
1.0
-2.369 -1.590 -2.616
0.416 -3.444 1.716
-9.186 -0.434 5.720
Be I Ba
2 2 1
direct
0.750 0.250 0.500
0.250 0.750 0.500
0.397 0.397 0.205
0.603 0.603 0.795
0.000 0.000 0.000

Entry 3:
PaTiS2, relaxed, DFT PBE; excess energy over the best structure of this formula in the dataset = 0.00 eV/f.u.; formation energy (no corrections) = -1367 meV per atom
1.0
-1.384 3.241 -0.468
-2.527 1.189 2.200
3.351 4.037 4.542
Ti S Pa
1 2 1
direct
0.674 0.674 0.978
0.070 0.070 0.790
0.260 0.260 0.219
0.496 0.496 0.513

Entry 4:
SiS, relaxed, DFT PBE; formation energy (no corrections) = -73 meV per atom
1.0
-0.645 2.283 -2.002
-2.998 0.553 1.597
3.715 5.529 5.107
S Si
2 2
direct
0.750 0.252 0.221
0.250 0.748 0.779
0.750 0.750 0.601
0.250 0.250 0.399